No. 1
Material: Sr5Mg
Method: DFT, GGA-PBEsol
State: optimized geometry

Unit cell a=4.1436 b=4.1436 c=19.1816 alpha=90.00 beta=90.00 gamma=120.00
Element x y z (fractional)
1 Sr 0.6667 0.3333 0.1397
2 Sr 0.0000 0.0000 0.3205
3 Sr 0.6667 0.3333 0.5000
4 Sr 0.0000 0.0000 0.6795
5 Sr 0.6667 0.3333 0.8603
6 Mg 0.0000 0.0000 0.0000

Values from the calculation:
ρ = 2.69 g/cm3
formation enthalpy at 0 K = 0.043 eV/atom
total magnetic moment = 0.00 μB/cell
energy above the most stable polymorph in this dataset = 55.0 meV per atom

---

No. 2
Material: CdFe2W
Method: DFT, GGA-PBEsol
State: optimized geometry

Unit cell a=2.7428 b=4.4929 c=4.8986 alpha=107.60 beta=106.26 gamma=90.00
Site moments in Bohr magnetons follow the coordinates.
Element x y z (fractional)
1 Cd 0.7359 0.2132 0.4718  -0.03
2 Fe 0.9753 0.0027 0.9506  1.57
3 Fe 0.2706 0.7379 0.5412  1.82
4 W 0.5182 0.5462 0.0364  -0.30

Values from the calculation:
ρ = 12.32 g/cm3
formation enthalpy at 0 K = 0.411 eV/atom
total magnetic moment = 2.98 μB/cell

---

No. 3
Material: ZnP2I
Method: DFT, GGA-PBEsol
State: optimized geometry

Unit cell a=4.7185 b=4.7185 c=4.7185 alpha=60.00 beta=60.00 gamma=60.00
Element x y z (fractional)
1 I 0.5000 0.5000 0.5000
2 P 0.2500 0.2500 0.2500
3 P 0.7500 0.7500 0.7500
4 Zn 0.0000 0.0000 0.0000

Values from the calculation:
energy = -2.88 eV per atom
ρ = 5.68 g/cm3
total magnetic moment = 0.00 μB/cell

---

No. 4
Material: MoN2Cl
Method: DFT, GGA-PBEsol
State: optimized geometry

Unit cell a=2.9926 b=2.9926 c=6.4062 alpha=76.49 beta=76.49 gamma=60.00
Element x y z (fractional)
1 Mo 0.5000 0.5000 0.5000
2 N 0.8948 0.8948 0.3157
3 N 0.1052 0.1052 0.6843
4 Cl 0.0000 0.0000 0.0000

Values from the calculation:
ρ = 5.53 g/cm3
total magnetic moment = 0.00 μB/cell
energy above the most stable polymorph in this dataset = 0.0 meV per atom

---

No. 5
Material: NiO
Method: DFT, GGA-PBEsol
State: optimized geometry

Unit cell a=2.8993 b=2.8993 c=2.8993 alpha=60.00 beta=60.00 gamma=60.00
Site moments in Bohr magnetons follow the coordinates.
Element x y z (fractional)
1 Ni 0.0000 0.0000 0.0000  0.28
2 O 0.5000 0.5000 0.5000  0.04

Values from the calculation:
energy = -6.19 eV per atom
ρ = 7.20 g/cm3
total magnetic moment = 0.33 μB/cell

---

No. 6
Material: MgGa
Method: DFT, GGA-PBEsol
State: optimized geometry

Unit cell a=5.1554 b=5.1598 c=5.5114 alpha=112.60 beta=90.00 gamma=119.97
Element x y z (fractional)
1 Mg 0.6609 0.0000 0.0000
2 Mg 0.8310 0.6643 0.4948
3 Mg 0.1667 0.3357 0.5052
4 Ga 0.3334 0.3247 0.9893
5 Ga 0.0087 0.6753 0.0107
6 Ga 0.4991 0.0000 0.5000

Values from the calculation:
ρ = 4.12 g/cm3
formation enthalpy at 0 K = -0.101 eV/atom
total magnetic moment = 0.00 μB/cell

---

No. 7
Material: LiMn8O16
Method: DFT, GGA-PBEsol
State: optimized geometry

Unit cell a=5.6738 b=8.0230 c=11.3510 alpha=90.00 beta=90.00 gamma=90.00
Site moments in Bohr magnetons follow the coordinates.
Element x y z (fractional)
1 Li 0.0000 0.6260 0.5000  0.01
2 Li 0.5000 0.3740 0.0000  0.01
3 Mn 0.7500 0.5000 0.7500  2.70
4 Mn 0.5000 0.7506 0.6271  2.72
5 Mn 0.2511 0.0015 0.5000  2.73
6 Mn 0.0000 0.2471 0.6249  2.71
7 Mn 0.0000 0.2471 0.3751  2.71
8 Mn 0.7489 0.0015 0.5000  2.73
9 Mn 0.7500 0.5000 0.2500  2.70
10 Mn 0.5000 0.7506 0.3729  2.72
11 Mn 0.5000 0.7529 0.1249  2.71
12 Mn 0.2500 0.5000 0.2500  2.70
13 Mn 0.2489 0.9985 0.0000  2.73
14 Mn 0.0000 0.2494 0.1271  2.72
15 Mn 0.0000 0.2494 0.8729  2.72
16 Mn 0.7511 0.9985 0.0000  2.73
17 Mn 0.5000 0.7529 0.8751  2.71
18 Mn 0.2500 0.5000 0.7500  2.70
19 O 0.0000 0.4875 0.6376  0.02
20 O 0.7221 0.7360 0.7499  0.05
21 O 0.7242 0.7626 0.5000  0.03
22 O 0.5000 0.5144 0.6394  0.05
23 O 0.5000 0.9858 0.3891  0.05
24 O 0.5000 0.9858 0.6109  0.05
25 O 0.2758 0.7626 0.5000  0.03
26 O 0.2779 0.7360 0.7499  0.05
27 O 0.2221 0.2359 0.5000  0.04
28 O 0.2221 0.2640 0.2499  0.05
29 O 0.0000 0.0138 0.6111  0.04
30 O 0.0000 0.0138 0.3889  0.04
31 O 0.0000 0.4856 0.1394  0.05
32 O 0.0000 0.4875 0.3624  0.02
33 O 0.7779 0.2640 0.2499  0.05
34 O 0.7779 0.2359 0.5000  0.04
35 O 0.7221 0.7360 0.2501  0.05
36 O 0.7221 0.7641 0.0000  0.04
37 O 0.5000 0.5144 0.3606  0.05
38 O 0.5000 0.5125 0.1376  0.02
39 O 0.5000 0.9862 0.8889  0.04
40 O 0.5000 0.9862 0.1111  0.04
41 O 0.2779 0.7641 0.0000  0.04
42 O 0.2779 0.7360 0.2501  0.05
43 O 0.2242 0.2374 0.0000  0.03
44 O 0.2221 0.2640 0.7501  0.05
45 O 0.0000 0.0142 0.1109  0.05
46 O 0.0000 0.0142 0.8891  0.05
47 O 0.0000 0.4856 0.8606  0.05
48 O 0.7779 0.2640 0.7501  0.05
49 O 0.7758 0.2374 0.0000  0.03
50 O 0.5000 0.5125 0.8624  0.02

Values from the calculation:
energy = -8.23 eV per atom
ρ = 4.51 g/cm3
total magnetic moment = 46.00 μB/cell

---

No. 8
Material: Ba2CaHg
Method: DFT, GGA-PBEsol
State: optimized geometry

Unit cell a=4.0888 b=6.1488 c=7.5086 alpha=114.17 beta=105.80 gamma=90.00
Element x y z (fractional)
1 Ca 0.5583 0.0583 0.1166
2 Hg 0.2393 0.2393 0.4786
3 Ba 0.9478 0.4478 0.8957
4 Ba 0.7545 0.7545 0.5091

Values from the calculation:
ρ = 5.21 g/cm3
formation enthalpy at 0 K = -0.270 eV/atom
total magnetic moment = 0.00 μB/cell
energy above the most stable polymorph in this dataset = 12.3 meV per atom

---

No. 9
Material: ZnSb2Pb
Method: DFT, GGA-PBEsol
State: optimized geometry

Unit cell a=3.8954 b=5.4842 c=5.6046 alpha=114.84 beta=110.34 gamma=90.00
Element x y z (fractional)
1 Pb 0.5000 0.0000 0.0000
2 Sb 0.2862 0.3069 0.5724
3 Sb 0.7138 0.6931 0.4276
4 Zn 0.0000 0.5000 0.0000

Values from the calculation:
energy = -3.54 eV per atom
ρ = 8.54 g/cm3
total magnetic moment = 0.00 μB/cell

---

No. 10
Material: ZrBi2RuN
Method: DFT, GGA-PBEsol
State: optimized geometry

Unit cell a=3.7175 b=5.1075 c=5.1075 alpha=90.00 beta=90.00 gamma=90.00
Element x y z (fractional)
1 Ru 0.5000 0.0000 0.0000
2 Bi 0.0000 0.0000 0.5000
3 Bi 0.0000 0.5000 0.0000
4 Zr 0.5000 0.5000 0.5000
5 N 0.0000 0.0000 0.0000

Values from the calculation:
energy = -7.13 eV per atom
ρ = 10.69 g/cm3
total magnetic moment = 0.00 μB/cell

---

No. 11
Material: LiAlTcRu2
Method: DFT, GGA-PBEsol
State: optimized geometry

Unit cell a=4.0130 b=4.0423 c=4.0423 alpha=90.00 beta=90.00 gamma=90.00
Site moments in Bohr magnetons follow the coordinates.
Element x y z (fractional)
1 Ru 0.0000 0.0000 0.5000  0.16
2 Ru 0.0000 0.5000 0.0000  0.16
3 Li 0.0000 0.0000 0.0000  0.00
4 Tc 0.5000 0.5000 0.5000  0.85
5 Al 0.5000 0.0000 0.0000  -0.01

Values from the calculation:
ρ = 8.46 g/cm3
formation enthalpy at 0 K = 0.957 eV/atom
total magnetic moment = 1.22 μB/cell

---

No. 12
Material: Mn2SiMo
Method: DFT, GGA-PBEsol
State: optimized geometry

Unit cell a=2.9156 b=4.0536 c=4.7378 alpha=115.33 beta=107.92 gamma=90.00
Element x y z (fractional)
1 Mn 0.7565 0.7565 0.5131
2 Mn 0.2435 0.2435 0.4869
3 Mo 0.0000 0.5000 0.0000
4 Si 0.5000 0.0000 0.0000

Values from the calculation:
energy = -9.40 eV per atom
ρ = 8.16 g/cm3
total magnetic moment = 0.00 μB/cell